# 1
VASP calculation (PBE-GGA) on a geometry-optimized PrMg2ZnCd4 structure.

Calculated values
density of states at the Fermi level: 3.28 states/eV/f.u.
crystal system: trigonal
formation energy: -0.1530 eV per atom

a = 4.9026 Å, b = 4.9026 Å, c = 9.2900 Å
α = 74.70°, β = 74.70°, γ = 60.00°
Sites, in units of the cell vectors:
1 Cd 0.3913 0.3913 0.8260
2 Cd 0.6087 0.6087 0.1740
3 Zn 0.5000 0.5000 0.5000
4 Cd 0.8708 0.8708 0.3877
5 Pr 0.0000 0.0000 0.0000
6 Mg 0.2493 0.2493 0.2522
7 Mg 0.7507 0.7507 0.7478
8 Cd 0.1292 0.1292 0.6123

=====

# 2
VASP calculation (PBE-GGA) on a geometry-optimized LiLaHf2In structure.

Calculated values
density of states at the Fermi level: 5.35 states/eV/f.u.
crystal system: tetragonal
formation energy: 0.5651 eV per atom

a = 4.9357 Å, b = 4.9654 Å, c = 4.9357 Å
α = 90.00°, β = 90.00°, γ = 90.00°
Sites, in units of the cell vectors:
1 Hf 0.5000 0.0000 0.0000
2 Hf 0.0000 0.0000 0.5000
3 In 0.5000 0.5000 0.5000
4 Li 0.0000 0.0000 0.0000
5 La 0.0000 0.5000 0.0000

=====

# 3
VASP calculation (PBE-GGA) on a geometry-optimized TbY2Cd6 structure.

Calculated values
density of states at the Fermi level: 7.06 states/eV/f.u.
crystal system: hexagonal
formation energy: -0.3329 eV per atom

a = 3.4596 Å, b = 8.6084 Å, c = 8.6085 Å
α = 120.00°, β = 90.00°, γ = 90.00°
Sites, in units of the cell vectors:
1 Cd 0.5000 0.3336 0.3336
2 Cd 0.5000 0.0000 0.6664
3 Y 0.0000 0.6667 0.3333
4 Cd 0.5000 0.0000 0.3336
5 Y 0.0000 0.3333 0.6667
6 Tb 0.0000 0.0000 0.0000
7 Cd 0.5000 0.6664 0.0000
8 Cd 0.5000 0.3336 0.0000
9 Cd 0.5000 0.6664 0.6664

=====

# 4
VASP calculation (PBE-GGA) on a geometry-optimized Be2CrTc structure.

Calculated values
density of states at the Fermi level: 2.10 states/eV/f.u.
energy relative to the lowest polymorph listed for this composition: 19.2 kJ per mole of atoms
crystal system: tetragonal
formation energy: 0.1119 eV per atom

a = 2.4813 Å, b = 2.4813 Å, c = 7.1272 Å
α = 90.00°, β = 90.00°, γ = 90.00°
Sites, in units of the cell vectors:
1 Cr 0.5000 0.5000 0.2500
2 Tc 0.5000 0.5000 0.7500
3 Be 0.0000 0.0000 0.4919
4 Be 0.0000 0.0000 0.0081

=====

# 5
VASP calculation (PBE-GGA) on a geometry-optimized Ti3AuC structure.

Calculated values
density of states at the Fermi level: 3.63 states/eV/f.u.
energy relative to the lowest polymorph listed for this composition: 22.4 kJ per mole of atoms
crystal system: monoclinic
formation energy: -0.3893 eV per atom

a = 4.3391 Å, b = 6.4223 Å, c = 6.0579 Å
α = 90.00°, β = 113.14°, γ = 90.00°
Sites, in units of the cell vectors:
1 C 0.9823 0.2500 0.4697
2 Ti 0.8655 0.5262 0.2536
3 Ti 0.1345 0.0262 0.7464
4 Ti 0.5420 0.7500 0.5746
5 Ti 0.1345 0.4738 0.7464
6 Ti 0.4580 0.2500 0.4254
7 Au 0.7230 0.2500 0.9078
8 Au 0.2770 0.7500 0.0922
9 C 0.0177 0.7500 0.5303
10 Ti 0.8655 0.9738 0.2536

=====

# 6
VASP calculation (PBE-GGA) on a geometry-optimized Ir2OsN2 structure.

Calculated values
density of states at the Fermi level: 4.71 states/eV/f.u.
energy relative to the lowest polymorph listed for this composition: 0.0 kJ per mole of atoms
crystal system: tetragonal
formation energy (no corrections): 0.59 eV per atom

a = 5.5326 Å, b = 5.5326 Å, c = 3.9774 Å
α = 90.00°, β = 90.00°, γ = 90.00°
Sites, in units of the cell vectors:
1 Ir 0.6758 0.8242 0.5000
2 Ir 0.3242 0.1758 0.5000
3 N 0.8212 0.3212 0.0000
4 Os 0.0000 0.0000 0.0000
5 N 0.1788 0.6788 0.0000
6 N 0.3212 0.1788 0.0000
7 N 0.6788 0.8212 0.0000
8 Ir 0.1758 0.6758 0.5000
9 Os 0.5000 0.5000 0.0000
10 Ir 0.8242 0.3242 0.5000

=====

# 7
VASP calculation (PBE-GGA) on a geometry-optimized TePt structure.

Calculated values
density of states at the Fermi level: 0.79 states/eV/f.u.
crystal system: tetragonal
formation energy (no corrections): 0.13 eV per atom

a = 3.6286 Å, b = 3.6286 Å, c = 3.0901 Å
α = 90.00°, β = 90.00°, γ = 90.00°
Sites, in units of the cell vectors:
1 Te 0.5000 0.5000 0.5000
2 Pt 0.0000 0.0000 0.0000

=====

# 8
VASP calculation (PBE-GGA) on a geometry-optimized Ba2BeTc structure.

Calculated values
density of states at the Fermi level: 4.55 states/eV/f.u.
crystal system: tetragonal
formation energy: 1.0839 eV per atom

a = 5.6772 Å, b = 5.6772 Å, c = 5.6772 Å
α = 129.15°, β = 129.15°, γ = 74.76°
Each line ends with the local moment (μB).
Sites, in units of the cell vectors:
1 Tc 0.7500 0.2500 0.5000  1.41
2 Ba 0.0000 0.0000 0.0000  -0.03
3 Be 0.5000 0.5000 0.0000  -0.07
4 Ba 0.2500 0.7500 0.5000  -0.08

=====

# 9
VASP calculation (PBE-GGA) on a geometry-optimized RbCd2Os structure.

Calculated values
density of states at the Fermi level: 5.05 states/eV/f.u.
energy relative to the lowest polymorph listed for this composition: 13.5 kJ per mole of atoms
crystal system: cubic
formation energy: 1.0801 eV per atom

a = 5.1199 Å, b = 5.1199 Å, c = 5.1199 Å
α = 60.00°, β = 60.00°, γ = 60.00°
Each line ends with the local moment (μB).
Sites, in units of the cell vectors:
1 Rb 0.0000 0.0000 0.0000  0.00
2 Cd 0.2500 0.2500 0.2500  -0.01
3 Os 0.5000 0.5000 0.5000  0.59
4 Cd 0.7500 0.7500 0.7500  -0.01

=====

# 10
VASP calculation (PBE-GGA) on a geometry-optimized Tm3ThFe structure.

Calculated values
density of states at the Fermi level: 8.02 states/eV/f.u.
crystal system: cubic
formation energy: 0.1725 eV per atom

a = 5.1855 Å, b = 5.1855 Å, c = 5.1855 Å
α = 90.00°, β = 90.00°, γ = 90.00°
Sites, in units of the cell vectors:
1 Fe 0.0000 0.0000 0.0000
2 Tm 0.0000 0.0000 0.5000
3 Tm 0.5000 0.0000 0.0000
4 Th 0.5000 0.5000 0.5000
5 Tm 0.0000 0.5000 0.0000

=====

# 11
VASP calculation (PBE-GGA) on a geometry-optimized Pm6PtRh3 structure.

Calculated values
density of states at the Fermi level: 6.20 states/eV/f.u.
energy relative to the lowest polymorph listed for this composition: 0.0 kJ per mole of atoms
crystal system: monoclinic
formation energy: -0.6789 eV per atom

a = 4.0994 Å, b = 11.7044 Å, c = 11.9496 Å
α = 108.71°, β = 90.00°, γ = 90.00°
Sites, in units of the cell vectors:
1 Pm 0.2500 0.6062 0.9408
2 Pt 0.7500 0.0533 0.6912
3 Rh 0.2500 0.3068 0.4922
4 Pt 0.2500 0.9467 0.3088
5 Pm 0.2500 0.0697 0.8935
6 Pm 0.7500 0.1154 0.4569
7 Pm 0.7500 0.4651 0.6096
8 Rh 0.2500 0.5620 0.1662
9 Pm 0.7500 0.9303 0.1065
10 Rh 0.7500 0.4380 0.8338
11 Pm 0.2500 0.8846 0.5431
12 Pm 0.7500 0.7927 0.7633
13 Rh 0.7500 0.6932 0.5078
14 Pm 0.2500 0.2661 0.7260
15 Pm 0.2500 0.5349 0.3904
16 Pm 0.7500 0.3938 0.0592
17 Pm 0.2500 0.2073 0.2367
18 Rh 0.7500 0.1544 0.0718
19 Rh 0.2500 0.8456 0.9282
20 Pm 0.7500 0.7339 0.2740

=====

# 12
VASP calculation (PBE-GGA) on a geometry-optimized AlFeRhAu structure.

Calculated values
density of states at the Fermi level: 4.22 states/eV/f.u.
crystal system: cubic
formation energy: -0.2743 eV per atom

a = 4.3618 Å, b = 4.3618 Å, c = 4.3618 Å
α = 60.00°, β = 60.00°, γ = 60.00°
Each line ends with the local moment (μB).
Sites, in units of the cell vectors:
1 Fe 0.2500 0.2500 0.2500  2.92
2 Au 0.0000 0.0000 0.0000  -0.03
3 Rh 0.5000 0.5000 0.5000  0.28
4 Al 0.7500 0.7500 0.7500  -0.01

=====

# 13
VASP calculation (PBE-GGA) on a geometry-optimized SmB2Mo structure.

Calculated values
density of states at the Fermi level: 2.41 states/eV/f.u.
crystal system: trigonal
formation energy: 0.0003 eV per atom

a = 3.3971 Å, b = 3.3971 Å, c = 6.2004 Å
α = 74.10°, β = 74.10°, γ = 60.00°
Sites, in units of the cell vectors:
1 Sm 0.5000 0.5000 0.5000
2 B 0.7311 0.7311 0.8067
3 Mo 0.0000 0.0000 0.0000
4 B 0.2689 0.2689 0.1933

=====

# 14
VASP calculation (PBE-GGA) on a geometry-optimized PmCuBiAu structure.

Calculated values
density of states at the Fermi level: 1.78 states/eV/f.u.
crystal system: cubic
formation energy: -0.3765 eV per atom

a = 5.0673 Å, b = 5.0673 Å, c = 5.0673 Å
α = 60.00°, β = 60.00°, γ = 60.00°
Sites, in units of the cell vectors:
1 Bi 0.0000 0.0000 0.0000
2 Pm 0.5000 0.5000 0.5000
3 Au 0.7500 0.7500 0.7500
4 Cu 0.2500 0.2500 0.2500

=====

# 15
VASP calculation (PBE-GGA) on a geometry-optimized TlB3Ru structure.

Calculated values
density of states at the Fermi level: 5.65 states/eV/f.u.
energy relative to the lowest polymorph listed for this composition: 197.6 kJ per mole of atoms
crystal system: cubic
formation energy: 2.9776 eV per atom

a = 4.3903 Å, b = 4.3903 Å, c = 4.3903 Å
α = 90.00°, β = 90.00°, γ = 90.00°
Each line ends with the local moment (μB).
Sites, in units of the cell vectors:
1 Tl 0.0000 0.0000 0.0000  0.00
2 B 0.0000 0.5000 0.0000  -0.05
3 B 0.0000 0.0000 0.5000  -0.06
4 B 0.5000 0.0000 0.0000  -0.03
5 Ru 0.5000 0.5000 0.5000  1.92

=====

# 16
VASP calculation (PBE-GGA) on a geometry-optimized Sm2MnSi3Ir4 structure.

Calculated values
density of states at the Fermi level: 5.28 states/eV/f.u.
crystal system: tetragonal
formation energy (no corrections): -0.91 eV per atom

a = 4.1219 Å, b = 4.1219 Å, c = 10.1958 Å
α = 90.00°, β = 90.00°, γ = 90.00°
Each line ends with the local moment (μB).
Sites, in units of the cell vectors:
1 Ir 0.0000 0.5000 0.3633  0.00
2 Ir 0.0000 0.0000 0.0000  -0.01
3 Si 0.0000 0.0000 0.5000  -0.04
4 Si 0.5000 0.0000 0.8727  -0.01
5 Ir 0.5000 0.5000 0.0000  0.01
6 Mn 0.5000 0.5000 0.5000  3.05
7 Ir 0.5000 0.0000 0.6367  0.00
8 Si 0.0000 0.5000 0.1273  -0.01
9 Sm 0.5000 0.0000 0.2495  -0.01
10 Sm 0.0000 0.5000 0.7505  -0.01

=====

# 17
VASP calculation (PBE-GGA) on a geometry-optimized CeTc2Ge structure.

Calculated values
density of states at the Fermi level: 3.36 states/eV/f.u.
energy relative to the lowest polymorph listed for this composition: 46.6 kJ per mole of atoms
crystal system: trigonal
formation energy: 0.2151 eV per atom

a = 2.9904 Å, b = 2.9904 Å, c = 9.0089 Å
α = 80.45°, β = 80.45°, γ = 60.00°
Sites, in units of the cell vectors:
1 Ce 0.0000 0.0000 0.0000
2 Tc 0.9058 0.9058 0.2827
3 Tc 0.0942 0.0942 0.7173
4 Ge 0.5000 0.5000 0.5000

=====

# 18
VASP calculation (PBE-GGA) on a geometry-optimized SnS2N2 structure.

Calculated values
density of states at the Fermi level: 1.76 states/eV/f.u.
energy relative to the lowest polymorph listed for this composition: 148.9 kJ per mole of atoms
crystal system: tetragonal
formation energy (no corrections): 1.32 eV per atom

a = 3.7514 Å, b = 3.7514 Å, c = 4.7594 Å
α = 90.00°, β = 90.00°, γ = 90.00°
Each line ends with the local moment (μB).
Sites, in units of the cell vectors:
1 Sn 0.5000 0.5000 0.5000  0.00
2 N 0.5000 0.0000 0.0000  0.16
3 S 0.0000 0.0000 0.0000  -0.01
4 S 0.0000 0.0000 0.5000  0.01
5 N 0.0000 0.5000 0.0000  0.16

=====

# 19
VASP calculation (PBE-GGA) on a geometry-optimized Tb3BeI3 structure.

Calculated values
density of states at the Fermi level: 4.99 states/eV/f.u.
crystal system: cubic
formation energy (no corrections): -0.79 eV per atom

a = 10.4401 Å, b = 10.4401 Å, c = 10.4401 Å
α = 109.47°, β = 109.47°, γ = 109.47°
Sites, in units of the cell vectors:
1 I 0.0086 0.7586 0.5172
2 I 0.4914 0.9828 0.7414
3 Tb 0.7711 0.7500 0.2289
4 I 0.7500 0.9914 0.5086
5 Tb 0.5211 0.0423 0.2711
6 Tb 0.2500 0.2289 0.2711
7 I 0.2414 0.9914 0.9828
8 Be 0.5000 0.2500 0.5000
9 Tb 0.7289 0.4577 0.4789
10 Tb 0.7289 0.2711 0.7500
11 I 0.2414 0.2500 0.7586
12 I 0.2586 0.7414 0.2500
13 Tb 0.9789 0.2289 0.4577
14 Be 0.0000 0.0000 0.2500
15 I 0.0172 0.5086 0.7586
16 I 0.2586 0.5172 0.5086
17 I 0.0086 0.2500 0.9914
18 Tb 0.5211 0.4789 0.7500
19 Tb 0.9789 0.7500 0.0211
20 Tb 0.7711 0.0211 0.0423
21 Tb 0.5423 0.2711 0.0211
22 I 0.4914 0.5086 0.2500
23 I 0.4828 0.7414 0.9914
24 Tb 0.9577 0.4789 0.2289
25 I 0.7500 0.7586 0.7414
26 Tb 0.2500 0.0211 0.4789
27 Be 0.7500 0.2500 0.2500
28 Be 0.7500 0.5000 0.0000

=====

# 20
VASP calculation (PBE-GGA) on a geometry-optimized CsNb3Bi structure.

Calculated values
density of states at the Fermi level: 4.69 states/eV/f.u.
energy relative to the lowest polymorph listed for this composition: 41.9 kJ per mole of atoms
crystal system: cubic
formation energy: 2.4380 eV per atom

a = 5.0949 Å, b = 5.0949 Å, c = 5.0949 Å
α = 90.00°, β = 90.00°, γ = 90.00°
Sites, in units of the cell vectors:
1 Nb 0.5000 0.0000 0.0000
2 Bi 0.5000 0.5000 0.5000
3 Cs 0.0000 0.0000 0.0000
4 Nb 0.0000 0.5000 0.0000
5 Nb 0.0000 0.0000 0.5000

=====

# 21
VASP calculation (PBE-GGA) on a geometry-optimized SrIn2Cl structure.

Calculated values
density of states at the Fermi level: 1.35 states/eV/f.u.
energy relative to the lowest polymorph listed for this composition: 0.5 kJ per mole of atoms
crystal system: monoclinic
formation energy (no corrections): -0.82 eV per atom

a = 7.2593 Å, b = 7.2593 Å, c = 4.5904 Å
α = 83.21°, β = 83.21°, γ = 30.95°
Sites, in units of the cell vectors:
1 Cl 0.7500 0.7500 0.7500
2 Sr 0.2500 0.2500 0.2500
3 In 0.9795 0.9795 0.0134
4 In 0.5205 0.5205 0.4866

=====

# 22
VASP calculation (PBE-GGA) on a geometry-optimized PaP2Ir structure.

Calculated values
density of states at the Fermi level: 5.47 states/eV/f.u.
energy relative to the lowest polymorph listed for this composition: 14.8 kJ per mole of atoms
crystal system: trigonal
formation energy: -0.8229 eV per atom

a = 3.9172 Å, b = 3.9172 Å, c = 5.7334 Å
α = 70.02°, β = 70.02°, γ = 60.00°
Each line ends with the local moment (μB).
Sites, in units of the cell vectors:
1 Pa 0.5000 0.5000 0.5000  0.88
2 Ir 0.0000 0.0000 0.0000  0.12
3 P 0.7315 0.7315 0.8054  0.01
4 P 0.2685 0.2685 0.1946  0.01

=====

# 23
VASP calculation (PBE-GGA) on a geometry-optimized Y3Hg4 structure.

Calculated values
density of states at the Fermi level: 4.95 states/eV/f.u.
energy relative to the lowest polymorph listed for this composition: 0.4 kJ per mole of atoms
crystal system: tetragonal
formation energy: -0.3502 eV per atom

a = 11.8845 Å, b = 11.8845 Å, c = 11.8845 Å
α = 160.76°, β = 160.76°, γ = 27.34°
Each line ends with the local moment (μB).
Sites, in units of the cell vectors:
1 Hg 0.4312 0.4312 0.0000  0.00
2 Hg 0.1423 0.1423 0.0000  -0.01
3 Hg 0.5688 0.5688 0.0000  0.00
4 Y 0.7050 0.7050 0.0000  0.14
5 Y 0.0000 0.0000 0.0000  -0.02
6 Y 0.2950 0.2950 0.0000  0.14
7 Hg 0.8577 0.8577 0.0000  -0.01

=====

# 24
VASP calculation (PBE-GGA) on a geometry-optimized Cs2P structure.

Calculated values
density of states at the Fermi level: 3.27 states/eV/f.u.
crystal system: triclinic
formation energy: -0.2144 eV per atom

a = 5.4548 Å, b = 6.8212 Å, c = 10.1609 Å
α = 83.30°, β = 77.59°, γ = 99.11°
Sites, in units of the cell vectors:
1 P 0.8337 0.8808 0.0240
2 P 0.1663 0.1192 0.9760
3 Cs 0.3360 0.6737 0.8591
4 Cs 0.1849 0.8108 0.2726
5 Cs 0.6640 0.3263 0.1409
6 Cs 0.8151 0.1892 0.7274

=====

# 25
VASP calculation (PBE-GGA) on a geometry-optimized Ca2LaIr2 structure.

Calculated values
density of states at the Fermi level: 3.82 states/eV/f.u.
energy relative to the lowest polymorph listed for this composition: 50.3 kJ per mole of atoms
crystal system: tetragonal
formation energy: 0.0804 eV per atom

a = 6.0504 Å, b = 6.0504 Å, c = 6.0504 Å
α = 129.94°, β = 129.94°, γ = 73.50°
Sites, in units of the cell vectors:
1 Ir 0.7500 0.2500 0.5000
2 Ir 0.2500 0.7500 0.5000
3 Ca 0.3484 0.3484 0.0000
4 La 0.0000 0.0000 0.0000
5 Ca 0.6516 0.6516 0.0000

=====

| no. | total energy (eV/cell) |
| --- | --- |
| 1 | -14.1 |
| 2 | -26.7 |
| 3 | -26.0 |
| 4 | -27.0 |
| 5 | -76.3 |
| 6 | -85.3 |
| 7 | -8.9 |
| 8 | -13.6 |
| 9 | -9.7 |
| 10 | -28.4 |
| 11 | -126.8 |
| 12 | -23.9 |
| 13 | -28.9 |
| 14 | -17.5 |
| 15 | -16.8 |
| 16 | -79.4 |
| 17 | -30.4 |
| 18 | -22.3 |
| 19 | -111.2 |
| 20 | -22.8 |
| 21 | -12.3 |
| 22 | -32.5 |
| 23 | -23.1 |
| 24 | -15.5 |
| 25 | -26.3 |